1.
Density functional theory data (PBE-GGA) for crystalline MgSe2 at its relaxed geometry.

## Properties
**SG**: I4_1/amd, No. 141
**E_form (uncorrected)**: -1.42 eV per formula unit
**Magnetic moment**: 0.0 Bohr magnetons per cell
**Uncorrected energy**: -3.328 eV per atom

a = 10.818 Å, b = 10.818 Å, c = 10.818 Å
α = 160.72°, β = 160.72°, γ = 27.40°
Element x y z (fractional)
Mg (0.375, 0.625, 0.750)
Mg (0.625, 0.375, 0.250)
Se (0.062, 0.812, 0.250)
Se (0.188, 0.938, 0.250)
Se (0.812, 0.062, 0.750)
Se (0.938, 0.188, 0.750)



2.
Density functional theory data (PBE-GGA) for crystalline MgSe3 at its relaxed geometry.

## Properties
**SG**: Pm-3m, No. 221
**E_form (uncorrected)**: 0.28 eV per formula unit
**Magnetic moment**: 0.0 Bohr magnetons per cell
**Uncorrected energy**: -2.941 eV per atom

a = 4.383 Å, b = 4.383 Å, c = 4.383 Å
α = 90.00°, β = 90.00°, γ = 90.00°
Element x y z (fractional)
Mg (0.000, 0.000, 0.000)
Se (0.000, 0.500, 0.500)
Se (0.500, 0.000, 0.500)
Se (0.500, 0.500, 0.000)



Question: What is the formula in the second record?
Answer: MgSe3



What did the second record say?
Density functional theory data (PBE-GGA) for crystalline MgSe3 at its relaxed geometry.

## Properties
**SG**: Pm-3m, No. 221
**E_form (uncorrected)**: 0.28 eV per formula unit
**Magnetic moment**: 0.0 Bohr magnetons per cell
**Uncorrected energy**: -2.941 eV per atom

a = 4.383 Å, b = 4.383 Å, c = 4.383 Å
α = 90.00°, β = 90.00°, γ = 90.00°
Element x y z (fractional)
Mg (0.000, 0.000, 0.000)
Se (0.000, 0.500, 0.500)
Se (0.500, 0.000, 0.500)
Se (0.500, 0.500, 0.000)